The following is a PBE calculation of a geometry-optimized SrAcH6Ir2 structure, from Alexandria via LeMat-Bulk.

Values from the calculation:
Crystal system   monoclinic

a b c (Å): 6.492 6.492 6.439
angles (deg): 100.39 100.39 104.61
Fractional positions:
H 0.081 0.566 0.873
H 0.919 0.434 0.127
H 0.471 0.732 0.144
H 0.529 0.268 0.856
H 0.782 0.843 0.983
H 0.566 0.081 0.373
H 0.157 0.218 0.517
H 0.732 0.471 0.644
H 0.218 0.157 0.017
H 0.843 0.782 0.483
H 0.268 0.529 0.356
H 0.434 0.919 0.627
Sr 0.578 0.422 0.250
Sr 0.422 0.578 0.750
Ir 0.324 0.033 0.822
Ir 0.033 0.324 0.322
Ir 0.676 0.967 0.178
Ir 0.967 0.676 0.678
Ac 0.853 0.147 0.750
Ac 0.147 0.853 0.250

The following is a PBE calculation of a geometry-optimized Ac8Te4HIr3 structure, from Alexandria via LeMat-Bulk.

Values from the calculation:
Crystal system   trigonal

a b c (Å): 8.804 9.455 8.804
angles (deg): 117.75 120.00 90.00
Fractional positions:
Ac 0.728 0.710 0.969
Ac 0.241 0.710 0.483
Ac 0.759 0.290 0.031
Ac 0.241 0.710 0.969
Ac 0.272 0.290 0.031
Ac 0.264 0.291 0.528
Ac 0.759 0.290 0.517
Ac 0.736 0.709 0.472
Te 0.000 0.000 0.500
Te 0.500 0.000 0.500
Te 0.500 0.000 0.000
Te 0.000 0.000 0.000
H 0.000 0.500 0.000
Ir 0.500 0.500 0.000
Ir 0.000 0.500 0.500
Ir 0.500 0.500 0.500

The following is a PBE calculation of a geometry-optimized Ac8Te3HIr3 structure, from Alexandria via LeMat-Bulk.

Values from the calculation:
Crystal system   trigonal

a b c (Å): 8.766 8.771 9.452
angles (deg): 117.68 89.99 119.98
Fractional positions:
Te 0.000 0.000 0.000
Te 0.500 0.500 0.000
Te 0.000 0.500 0.000
Ac 0.736 0.473 0.709
Ac 0.264 0.527 0.291
Ac 0.761 0.033 0.295
Ac 0.728 0.967 0.705
Ac 0.272 0.033 0.295
Ac 0.239 0.967 0.705
Ac 0.239 0.478 0.706
Ac 0.761 0.522 0.294
Ir 0.500 0.000 0.500
Ir 0.000 0.500 0.500
Ir 0.500 0.500 0.500
H 0.000 0.000 0.500

The following is a PBE calculation of a geometry-optimized AcTlH6Ir2 structure, from Alexandria via LeMat-Bulk.

Values from the calculation:
Crystal system   monoclinic

a b c (Å): 7.355 7.355 4.941
angles (deg): 85.89 85.89 115.06
Fractional positions:
Ir 0.209 0.374 0.231
Ir 0.626 0.791 0.269
Ir 0.791 0.626 0.769
Ir 0.374 0.209 0.731
H 0.809 0.818 0.996
H 0.182 0.191 0.504
H 0.818 0.809 0.496
H 0.286 0.969 0.697
H 0.873 0.509 0.560
H 0.969 0.286 0.197
H 0.127 0.491 0.440
H 0.191 0.182 0.004
H 0.509 0.873 0.060
H 0.714 0.031 0.303
H 0.031 0.714 0.803
H 0.491 0.127 0.940
Tl 0.384 0.616 0.750
Tl 0.616 0.384 0.250
Ac 0.160 0.840 0.250
Ac 0.840 0.160 0.750

The following is a PBE calculation of a geometry-optimized Ac3TlHIr structure, from Alexandria via LeMat-Bulk.

Values from the calculation:
Crystal system   monoclinic

a b c (Å): 4.342 9.363 9.756
angles (deg): 103.73 90.00 90.00
Fractional positions:
H 0.750 0.925 0.411
H 0.250 0.075 0.589
Tl 0.250 0.184 0.251
Tl 0.750 0.816 0.749
Ir 0.750 0.331 0.843
Ir 0.250 0.669 0.157
Ac 0.750 0.877 0.135
Ac 0.250 0.553 0.837
Ac 0.250 0.123 0.865
Ac 0.750 0.192 0.536
Ac 0.750 0.447 0.163
Ac 0.250 0.808 0.464

The following is a PBE calculation of a geometry-optimized Ac5Tl2HIr structure, from Alexandria via LeMat-Bulk.

Values from the calculation:
Crystal system   orthorhombic

a b c (Å): 4.327 10.070 14.627
angles (deg): 90.00 90.00 102.41
Fractional positions:
Ac 0.308 0.616 0.665
Ac 0.040 0.080 0.003
Ac 0.500 0.999 0.263
Ac 0.692 0.384 0.165
Ac 0.500 0.001 0.763
Ac 0.309 0.618 0.385
Ac 0.657 0.315 0.523
Ac 0.960 0.920 0.503
Ac 0.343 0.685 0.023
Ac 0.691 0.382 0.885
H 0.560 0.120 0.912
H 0.440 0.880 0.412
Tl 0.873 0.746 0.206
Tl 0.876 0.753 0.843
Tl 0.127 0.254 0.706
Tl 0.124 0.247 0.343
Ir 0.192 0.384 0.024
Ir 0.808 0.616 0.524

no.,uncorrected energy (eV per cell)
1,-96.0
2,-92.2
3,-85.6
4,-93.5
5,-60.0
6,-82.7